Record 1
RbNi3P: optimized geometry, GGA-PBE.

a = 4.443 Å, b = 4.443 Å, c = 4.443 Å
α = 90.00°, β = 90.00°, γ = 90.00°
Fractional positions:
Rb  0.000  0.000  0.000
Ni  0.000  0.500  0.500
Ni  0.500  0.000  0.500
Ni  0.500  0.500  0.000
P  0.500  0.500  0.500

Calculated values
Calculated density   5.5 g/cm³
Space-group type   No. 221
Energy relative to the elements   0.244 eV/atom
D(E_F)   2.90 states/eV/cell
Uncorrected energy   -4.50 eV/atom

***

Record 2
Rb3NiP: optimized geometry, GGA-PBE.

a = 6.504 Å, b = 6.504 Å, c = 6.504 Å
α = 90.00°, β = 90.00°, γ = 90.00°
Fractional positions:
Rb  0.000  0.000  0.500
Rb  0.000  0.500  0.000
Rb  0.500  0.000  0.000
Ni  0.500  0.500  0.500
P  0.000  0.000  0.000

Calculated values
Calculated density   2.1 g/cm³
Space-group type   No. 221
Energy relative to the elements   0.574 eV/atom
D(E_F)   9.52 states/eV/cell
Uncorrected energy   -2.25 eV/atom

***

Record 3
RbNiP3: optimized geometry, GGA-PBE.

a = 4.661 Å, b = 4.661 Å, c = 4.661 Å
α = 90.00°, β = 90.00°, γ = 90.00°
Fractional positions:
Rb  0.000  0.000  0.000
Ni  0.500  0.500  0.500
P  0.000  0.500  0.500
P  0.500  0.000  0.500
P  0.500  0.500  0.000

Calculated values
Calculated density   3.9 g/cm³
Space-group type   No. 221
Energy relative to the elements   0.454 eV/atom
D(E_F)   6.08 states/eV/cell
Uncorrected energy   -4.14 eV/atom

***

Record 4
RbNiP3: optimized geometry, GGA-PBE.

a = 5.284 Å, b = 5.284 Å, c = 5.284 Å
α = 90.00°, β = 90.00°, γ = 90.00°
Fractional positions:
Rb  0.000  0.000  0.000
Ni  0.500  0.500  0.500
P  0.000  0.000  0.500
P  0.000  0.500  0.000
P  0.500  0.000  0.000

Calculated values
Calculated density   2.7 g/cm³
Space-group type   No. 221
Energy relative to the elements   2.611 eV/atom
D(E_F)   15.27 states/eV/cell
Uncorrected energy   -1.98 eV/atom

***

no.,polymorph energy (0 for the lowest one) (meV per atom)
1,0
2,0
3,773
4,2930